# Li3ZnCo | Alexandria | PBE-GGA | relaxed
data_Li3ZnCo
_chemical_formula_sum 'Li3 Zn1 Co1'
_cell_length_a 4.541
_cell_length_b 4.541
_cell_length_c 4.541
_cell_angle_alpha 90.00
_cell_angle_beta 90.00
_cell_angle_gamma 90.00
_space_group_name_H-M_alt 'P m -3 m'
_space_group_IT_number 221
_space_group_name_Hall '-P 4 2 3'
loop_
_atom_site_label
_atom_site_type_symbol
_atom_site_fract_x
_atom_site_fract_y
_atom_site_fract_z
_atom_site_occupancy
Li1 Li 0.000 0.000 0.500 1
Zn1 Zn 0.500 0.500 0.500 1
Co1 Co 0.000 0.000 0.000 1
# Uncorrected energy in eV/atom: -2.218
# Formation energy from the elements in eV per atom: 0.606
# DOS at the Fermi energy in states/eV/atom: 1.63
# ΔE to the lowest computed polymorph in eV per atom: 0.0000


# K2AgSb | Alexandria | PBE-GGA | relaxed
data_K2AgSb
_chemical_formula_sum 'K8 Ag4 Sb4'
_cell_length_a 10.566
_cell_length_b 8.349
_cell_length_c 6.346
_cell_angle_alpha 90.00
_cell_angle_beta 90.00
_cell_angle_gamma 90.00
_space_group_name_H-M_alt 'C m c m'
_space_group_IT_number 63
_space_group_name_Hall '-C 2c 2'
loop_
_atom_site_label
_atom_site_type_symbol
_atom_site_fract_x
_atom_site_fract_y
_atom_site_fract_z
_atom_site_occupancy
K1 K 0.172 0.149 0.250 1
Ag1 Ag 0.000 0.500 0.000 1
Sb1 Sb 0.000 0.234 0.750 1
# E_form (uncorrected) in meV/atom: -412
# Uncorrected energy in eV/atom: -2.704


# TbZr3 | Alexandria | PBE-GGA | relaxed
data_TbZr3
_chemical_formula_sum 'Tb1 Zr3'
_cell_length_a 4.631
_cell_length_b 4.631
_cell_length_c 4.631
_cell_angle_alpha 90.00
_cell_angle_beta 90.00
_cell_angle_gamma 90.00
_space_group_name_H-M_alt 'P m -3 m'
_space_group_IT_number 221
_space_group_name_Hall '-P 4 2 3'
loop_
_atom_site_label
_atom_site_type_symbol
_atom_site_fract_x
_atom_site_fract_y
_atom_site_fract_z
_atom_site_occupancy
Tb1 Tb 0.000 0.000 0.000 1
Zr1 Zr 0.000 0.500 0.500 1
# Uncorrected energy in eV/atom: -7.447
# Formation energy from the elements in eV per atom: 0.122
# DOS at the Fermi energy in states/eV/atom: 1.56
# ΔE to the lowest computed polymorph in eV per atom: 0.0626